(1)
! Tm4TlOs (PBE-GGA, relaxed); values from VASP
&SYSTEM
  ibrav = 0, nat = 6, ntyp = 3
/
ATOMIC_SPECIES
Tm 168.93 Tm.upf
Os 190.23 Os.upf
Tl 204.38 Tl.upf
CELL_PARAMETERS angstrom
4.931 0.000 0.000
2.466 4.268 0.247
2.466 0.957 8.131
ATOMIC_POSITIONS angstrom
Tm 7.397 4.111 2.986
Tm 4.931 2.801 0.932
Tm 2.466 1.114 5.392
Tm 4.931 2.423 7.446
Os 0.000 0.000 0.000
Tl 4.931 2.612 4.189
! ΔH_f (0 K), eV per atom: -0.20
! Crystal system: trigonal
! Raw total energy, eV per formula unit: -32.66


(2)
! Ac2ThHg6 (PBE-GGA, relaxed); values from VASP
&SYSTEM
  ibrav = 0, nat = 9, ntyp = 3
/
ATOMIC_SPECIES
Hg 200.59 Hg.upf
Th 232.04 Th.upf
Ac 227.00 Ac.upf
CELL_PARAMETERS angstrom
-1.491 -3.274 -0.902
-1.427 2.918 -8.234
7.623 -4.026 2.010
ATOMIC_POSITIONS angstrom
Hg 5.922 -3.708 -3.957
Hg 4.361 -4.333 0.896
Hg -1.217 -0.674 -3.170
Hg 1.300 -2.003 -2.506
Hg 1.771 -2.966 0.213
Hg 3.405 -2.379 -4.620
Th 7.623 -4.026 2.010
Ac 4.606 -1.711 -1.405
Ac 0.098 -2.671 -5.721
! ΔH_f (0 K), eV per atom: -0.38
! Crystal system: hexagonal
! Raw total energy, eV per formula unit: -20.82


(3)
! Tb2PmTl2 (PBE-GGA, relaxed); values from VASP
&SYSTEM
  ibrav = 0, nat = 10, ntyp = 3
/
ATOMIC_SPECIES
Tb 158.93 Tb.upf
Pm 145.00 Pm.upf
Tl 204.38 Tl.upf
CELL_PARAMETERS angstrom
6.620 -0.930 0.616
2.725 4.526 0.612
3.745 -0.388 9.363
ATOMIC_POSITIONS angstrom
Tb 6.244 1.360 8.477
Tb 6.845 1.847 2.113
Tb 9.824 2.398 7.958
Tb 3.265 0.809 2.633
Pm 9.025 3.363 4.359
Pm 4.064 -0.156 6.231
Tl 7.817 0.771 5.811
Tl 9.057 -0.483 9.538
Tl 4.032 3.690 1.052
Tl 5.272 2.436 4.780
! ΔH_f (0 K), eV per atom: -0.29
! Crystal system: triclinic
! Raw total energy, eV per formula unit: -20.20


Repeat the first record exactly.
! Tm4TlOs (PBE-GGA, relaxed); values from VASP
&SYSTEM
  ibrav = 0, nat = 6, ntyp = 3
/
ATOMIC_SPECIES
Tm 168.93 Tm.upf
Os 190.23 Os.upf
Tl 204.38 Tl.upf
CELL_PARAMETERS angstrom
4.931 0.000 0.000
2.466 4.268 0.247
2.466 0.957 8.131
ATOMIC_POSITIONS angstrom
Tm 7.397 4.111 2.986
Tm 4.931 2.801 0.932
Tm 2.466 1.114 5.392
Tm 4.931 2.423 7.446
Os 0.000 0.000 0.000
Tl 4.931 2.612 4.189
! ΔH_f (0 K), eV per atom: -0.20
! Crystal system: trigonal
! Raw total energy, eV per formula unit: -32.66


What is the ΔH_f (0 K) in the third record? -0.29 eV per atom


What is the raw total energy in the first record? -32.66 eV per formula unit


Please write out number 1 again, unchanged.
! Tm4TlOs (PBE-GGA, relaxed); values from VASP
&SYSTEM
  ibrav = 0, nat = 6, ntyp = 3
/
ATOMIC_SPECIES
Tm 168.93 Tm.upf
Os 190.23 Os.upf
Tl 204.38 Tl.upf
CELL_PARAMETERS angstrom
4.931 0.000 0.000
2.466 4.268 0.247
2.466 0.957 8.131
ATOMIC_POSITIONS angstrom
Tm 7.397 4.111 2.986
Tm 4.931 2.801 0.932
Tm 2.466 1.114 5.392
Tm 4.931 2.423 7.446
Os 0.000 0.000 0.000
Tl 4.931 2.612 4.189
! ΔH_f (0 K), eV per atom: -0.20
! Crystal system: trigonal
! Raw total energy, eV per formula unit: -32.66